# 1
VASP calculation (PBE-GGA) on a geometry-optimized Ag13Pd2 structure.

Output
Space-group type: No. 166
DFT total energy, eV/atom: -2.86
ΔH_f (0 K), eV/atom: 0.3015
M_tot, μB per cell: 0.00
Polymorph energy (0 for the lowest one), meV per atom: 314.6

a b c (Å): 7.631 7.631 8.149
angles (deg): 62.08 62.08 60.00
Fractional positions:
Ag  0.515  0.144  0.826
Ag  0.906  0.270  0.554
Ag  0.856  0.485  0.174
Ag  0.485  0.485  0.174
Ag  0.144  0.515  0.826
Pd  0.731  0.731  0.807
Ag  0.515  0.515  0.826
Ag  0.094  0.730  0.446
Ag  0.730  0.094  0.446
Ag  0.270  0.270  0.554
Ag  0.485  0.856  0.174
Pd  0.269  0.269  0.193
Ag  0.270  0.906  0.554
Ag  0.500  0.500  0.500
Ag  0.730  0.730  0.446

---

# 2
VASP calculation (PBE-GGA) on a geometry-optimized PrB2Rh5 structure.

Output
Space-group type: No. 71
DFT total energy, eV/atom: -7.26
ΔH_f (0 K), eV/atom: -0.4035
M_tot, μB per cell: 0.00

a b c (Å): 3.951 6.036 6.036
angles (deg): 59.15 70.90 70.90
Fractional positions:
Rh  0.653  0.128  0.565
B  0.215  0.285  0.285
Rh  0.347  0.435  0.872
Pr  0.000  0.000  0.000
B  0.785  0.715  0.715
Rh  0.347  0.872  0.435
Rh  0.653  0.565  0.128
Rh  0.000  0.500  0.500

---

What did the first record say?
VASP calculation (PBE-GGA) on a geometry-optimized Ag13Pd2 structure.

Output
Space-group type: No. 166
DFT total energy, eV/atom: -2.86
ΔH_f (0 K), eV/atom: 0.3015
M_tot, μB per cell: 0.00
Polymorph energy (0 for the lowest one), meV per atom: 314.6

a b c (Å): 7.631 7.631 8.149
angles (deg): 62.08 62.08 60.00
Fractional positions:
Ag  0.515  0.144  0.826
Ag  0.906  0.270  0.554
Ag  0.856  0.485  0.174
Ag  0.485  0.485  0.174
Ag  0.144  0.515  0.826
Pd  0.731  0.731  0.807
Ag  0.515  0.515  0.826
Ag  0.094  0.730  0.446
Ag  0.730  0.094  0.446
Ag  0.270  0.270  0.554
Ag  0.485  0.856  0.174
Pd  0.269  0.269  0.193
Ag  0.270  0.906  0.554
Ag  0.500  0.500  0.500
Ag  0.730  0.730  0.446